(1)
Below is an optimized crystal structure of Sc2FeIr, with properties calculated at the PBE level.

Cell and atoms, written as extended XYZ:
```
4
Lattice="1.484 0.857 8.864 -1.484 0.857 8.864 0.000 -1.714 8.864" Properties=species:S:1:pos:R:3 pbc="T T T"
Sc 0.000 0.000 2.511
Sc 0.000 0.000 24.082
Fe 0.000 0.000 13.296
Ir 0.000 0.000 0.000
```

Values from the calculation:
The calculation puts the total DFT energy (no corrections) at -7.32 eV per atom. The value obtained for the formation energy is 0.7 eV per formula unit.

(2)
Below is an optimized crystal structure of ScFeIr2, with properties calculated at the PBE level.

Cell and atoms, written as extended XYZ:
```
4
Lattice="-1.919 1.919 4.077 1.919 -1.919 4.077 1.919 1.919 -4.077" Properties=species:S:1:pos:R:3 pbc="T T T"
Sc 0.000 0.000 0.000
Fe 1.919 0.000 2.039
Ir 0.000 0.000 4.077
Ir 0.000 1.919 2.039
```

Values from the calculation:
The calculation puts the total DFT energy (no corrections) at -8.47 eV per atom. The value obtained for the formation energy is -1.4 eV per formula unit.

(3)
Below is an optimized crystal structure of Sc2FeIr, with properties calculated at the PBE level.

Cell and atoms, written as extended XYZ:
```
4
Lattice="1.507 0.870 9.141 -1.507 0.870 9.141 0.000 -1.740 9.141" Properties=species:S:1:pos:R:3 pbc="T T T"
Sc 0.000 0.000 0.000
Sc 0.000 0.000 6.247
Fe 0.000 0.000 20.453
Ir 0.000 0.000 13.297
```

Values from the calculation:
The calculation puts the total DFT energy (no corrections) at -7.44 eV per atom. The value obtained for the formation energy is 0.2 eV per formula unit.

(4)
Below is an optimized crystal structure of Sc2FeIr2, with properties calculated at the PBE level.

Cell and atoms, written as extended XYZ:
```
10
Lattice="6.511 0.000 0.000 0.000 6.511 0.000 0.000 0.000 4.117" Properties=species:S:1:pos:R:3 pbc="T T T"
Sc 1.139 2.117 0.000
Sc 2.117 5.373 0.000
Sc 4.394 1.139 0.000
Sc 5.373 4.394 0.000
Fe 0.000 0.000 2.059
Fe 3.256 3.256 2.059
Ir 0.913 4.168 2.059
Ir 2.343 0.913 2.059
Ir 4.168 5.599 2.059
Ir 5.599 2.343 2.059
```

Values from the calculation:
The calculation puts the total DFT energy (no corrections) at -8.31 eV per atom. The calculation puts the energy above the lowest structure with this stoichiometry at 0.0 meV per atom. The value obtained for the formation energy is -2.7 eV per formula unit.

(5)
Below is an optimized crystal structure of ScFeIr2, with properties calculated at the PBE level.

Cell and atoms, written as extended XYZ:
```
4
Lattice="3.152 0.000 0.000 0.000 3.152 0.000 0.000 0.000 6.171" Properties=species:S:1:pos:R:3 pbc="T T T"
Sc 0.000 0.000 0.000
Fe 0.000 0.000 3.085
Ir 1.576 1.576 1.651
Ir 1.576 1.576 4.520
```

Values from the calculation:
The calculation puts the total DFT energy (no corrections) at -8.56 eV per atom. The value obtained for the formation energy is -1.7 eV per formula unit.

(6)
Below is an optimized crystal structure of Sc12Fe3Ir5, with properties calculated at the PBE level.

Cell and atoms, written as extended XYZ:
```
80
Lattice="-7.746 7.746 7.746 7.746 -7.746 7.746 7.746 7.746 -7.746" Properties=species:S:1:pos:R:3 pbc="T T T"
Sc 2.308 -0.381 1.134
Sc 9.312 5.007 -4.255
Sc 7.365 -1.134 2.308
Sc 12.001 -1.566 2.739
Sc 10.054 0.381 1.134
Sc 9.312 -2.739 4.255
Sc 1.134 2.308 -0.381
Sc 10.486 3.492 -1.566
Sc 5.007 4.255 -1.566
Sc 6.612 2.308 0.381
Sc -0.381 1.134 2.308
Sc 4.255 -1.566 5.007
Sc 7.365 6.612 -2.308
Sc 4.255 1.566 2.739
Sc 6.612 -2.308 7.365
Sc 5.007 -4.255 9.312
Sc 2.739 4.255 1.566
Sc 8.880 5.439 0.381
Sc 2.308 7.365 -1.134
Sc 9.312 2.739 3.492
Sc 4.255 9.312 -2.739
Sc 7.365 1.134 5.439
Sc 1.566 2.739 4.255
Sc 2.308 0.381 6.612
Sc 5.439 7.365 1.134
Sc 6.181 5.007 3.492
Sc 0.381 6.612 2.308
Sc 3.492 -1.566 10.486
Sc -1.566 5.007 4.255
Sc 5.439 0.381 8.880
Sc -1.134 2.308 7.365
Sc 5.007 3.492 6.181
Sc 2.739 12.001 -1.566
Sc 1.134 10.054 0.381
Sc 3.492 6.181 5.007
Sc 0.381 1.134 10.054
Sc 3.492 9.312 2.739
Sc 8.128 6.612 5.439
Sc 1.134 5.439 7.365
Sc 2.739 3.492 9.312
Sc -2.739 4.255 9.312
Sc 6.612 5.439 8.128
Sc -1.566 10.486 3.492
Sc -2.308 7.365 6.612
Sc -4.255 9.312 5.007
Sc 0.381 8.880 5.439
Sc -1.566 2.739 12.001
Sc 5.439 8.128 6.612
Fe 3.873 1.937 0.000
Fe 7.746 3.873 -1.937
Fe 1.937 0.000 3.873
Fe 9.683 0.000 3.873
Fe 0.000 3.873 1.937
Fe 3.873 -1.937 7.746
Fe 3.873 9.683 0.000
Fe 7.746 3.873 5.810
Fe -1.937 7.746 3.873
Fe 5.810 7.746 3.873
Fe 0.000 3.873 9.683
Fe 3.873 5.810 7.746
Ir 0.000 0.000 0.000
Ir 3.873 3.873 -3.873
Ir 3.873 -3.873 3.873
Ir 7.746 0.000 0.000
Ir 11.620 1.937 0.000
Ir 7.746 -3.873 5.810
Ir 5.810 7.746 -3.873
Ir 5.810 0.000 3.873
Ir 3.873 5.810 0.000
Ir 7.746 3.873 1.937
Ir -3.873 3.873 3.873
Ir 0.000 7.746 0.000
Ir 0.000 0.000 7.746
Ir 3.873 3.873 3.873
Ir 0.000 3.873 5.810
Ir 3.873 1.937 7.746
Ir 1.937 7.746 3.873
Ir 1.937 0.000 11.620
Ir 0.000 11.620 1.937
Ir -3.873 5.810 7.746
```

Values from the calculation:
The calculation puts the total DFT energy (no corrections) at -7.19 eV per atom. The value obtained for the formation energy is 1.8 eV per formula unit.

What did the second record say?
Below is an optimized crystal structure of ScFeIr2, with properties calculated at the PBE level.

Cell and atoms, written as extended XYZ:
```
4
Lattice="-1.919 1.919 4.077 1.919 -1.919 4.077 1.919 1.919 -4.077" Properties=species:S:1:pos:R:3 pbc="T T T"
Sc 0.000 0.000 0.000
Fe 1.919 0.000 2.039
Ir 0.000 0.000 4.077
Ir 0.000 1.919 2.039
```

Values from the calculation:
The calculation puts the total DFT energy (no corrections) at -8.47 eV per atom. The value obtained for the formation energy is -1.4 eV per formula unit.